(1)
A plane-wave DFT calculation with PBE was carried out for Na2ScSn2 after structural relaxation.

Structure (CIF):
```
data_Na2ScSn2
_chemical_formula_sum 'Na4 Sc2 Sn4'
_space_group_name_H-M_alt 'P 1'
_space_group_IT_number 1
_space_group_name_Hall 'P 1'
_cell_length_a 7.7267
_cell_length_b 7.7267
_cell_length_c 4.7858
_cell_angle_alpha 90.00
_cell_angle_beta 90.00
_cell_angle_gamma 90.00
loop_
_atom_site_label
_atom_site_type_symbol
_atom_site_fract_x
_atom_site_fract_y
_atom_site_fract_z
Sc1 Sc 0.0000 0.0000 0.0000
Sc2 Sc 0.5000 0.5000 0.0000
Na1 Na 0.1653 0.6653 0.5000
Na2 Na 0.6653 0.8347 0.5000
Na3 Na 0.8347 0.3347 0.5000
Na4 Na 0.3347 0.1653 0.5000
Sn1 Sn 0.3654 0.8654 0.0000
Sn2 Sn 0.8654 0.6346 0.0000
Sn3 Sn 0.6346 0.1346 0.0000
Sn4 Sn 0.1346 0.3654 0.0000
```

Computed properties:
Symmetry: P4/mbm, No. 127
ΔE_f, eV per atom: -0.11
V, Å³/cell: 285.7
N(E_F), states/eV per atom: 1.26
Total moment, Bohr magnetons per cell: 0.00
ΔE to the lowest computed polymorph, meV per atom: 0

=====

(2)
A plane-wave DFT calculation with PBE was carried out for Sm2Si3HgPt4 after structural relaxation.

Structure (CIF):
```
data_Sm2Si3HgPt4
_chemical_formula_sum 'Sm2 Si3 Hg1 Pt4'
_space_group_name_H-M_alt 'P 1'
_space_group_IT_number 1
_space_group_name_Hall 'P 1'
_cell_length_a 4.2593
_cell_length_b 4.2593
_cell_length_c 10.4457
_cell_angle_alpha 90.00
_cell_angle_beta 90.00
_cell_angle_gamma 90.00
loop_
_atom_site_label
_atom_site_type_symbol
_atom_site_fract_x
_atom_site_fract_y
_atom_site_fract_z
Sm1 Sm 0.5000 0.0000 0.2463
Sm2 Sm 0.0000 0.5000 0.7537
Si1 Si 0.0000 0.0000 0.5000
Si2 Si 0.5000 0.0000 0.8790
Si3 Si 0.0000 0.5000 0.1210
Hg1 Hg 0.5000 0.5000 0.5000
Pt1 Pt 0.5000 0.5000 0.0000
Pt2 Pt 0.0000 0.0000 0.0000
Pt3 Pt 0.5000 0.0000 0.6569
Pt4 Pt 0.0000 0.5000 0.3431
```

Computed properties:
Formation energy (no corrections), eV/atom: -0.900
Symmetry: P-4m2, No. 115
V, Å³/cell: 189.5
N(E_F), states/eV per atom: 0.49
Total moment, Bohr magnetons per cell: 0.00

=====

(3)
A plane-wave DFT calculation with PBE was carried out for Gd3Te12Pb5 after structural relaxation.

Structure (CIF):
```
data_Gd3Te12Pb5
_chemical_formula_sum 'Gd12 Te48 Pb20'
_space_group_name_H-M_alt 'P 1'
_space_group_IT_number 1
_space_group_name_Hall 'P 1'
_cell_length_a 15.8745
_cell_length_b 15.8745
_cell_length_c 15.8745
_cell_angle_alpha 109.47
_cell_angle_beta 109.47
_cell_angle_gamma 109.47
loop_
_atom_site_label
_atom_site_type_symbol
_atom_site_fract_x
_atom_site_fract_y
_atom_site_fract_z
Gd1 Gd 0.7500 0.3750 0.1250
Gd2 Gd 0.8750 0.7500 0.1250
Gd3 Gd 0.3750 0.7500 0.6250
Gd4 Gd 0.2500 0.1250 0.3750
Gd5 Gd 0.8750 0.1250 0.2500
Gd6 Gd 0.3750 0.6250 0.2500
Gd7 Gd 0.6250 0.3750 0.7500
Gd8 Gd 0.1250 0.8750 0.7500
Gd9 Gd 0.7500 0.8750 0.6250
Gd10 Gd 0.6250 0.2500 0.3750
Gd11 Gd 0.1250 0.2500 0.8750
Gd12 Gd 0.2500 0.6250 0.8750
Pb1 Pb 0.1250 0.3750 0.2500
Pb2 Pb 0.0000 0.5000 0.0000
Pb3 Pb 0.0000 0.0000 0.0000
Pb4 Pb 0.3750 0.2500 0.1250
Pb5 Pb 0.5000 0.0000 0.5000
Pb6 Pb 0.5000 0.5000 0.0000
Pb7 Pb 0.1250 0.7500 0.3750
Pb8 Pb 0.7500 0.1250 0.8750
Pb9 Pb 0.7500 0.6250 0.3750
Pb10 Pb 0.3750 0.1250 0.7500
Pb11 Pb 0.6250 0.8750 0.2500
Pb12 Pb 0.5000 0.5000 0.5000
Pb13 Pb 0.5000 0.0000 0.0000
Pb14 Pb 0.0000 0.0000 0.5000
Pb15 Pb 0.2500 0.3750 0.6250
Pb16 Pb 0.2500 0.8750 0.1250
Pb17 Pb 0.0000 0.5000 0.5000
Pb18 Pb 0.8750 0.2500 0.6250
Pb19 Pb 0.6250 0.7500 0.8750
Pb20 Pb 0.8750 0.6250 0.7500
Te1 Te 0.7287 0.1430 0.0600
Te2 Te 0.3312 0.5600 0.4170
Te3 Te 0.9400 0.3570 0.2713
Te4 Te 0.5600 0.2287 0.1430
Te5 Te 0.5858 0.7287 0.6688
Te6 Te 0.9400 0.5830 0.1688
Te7 Te 0.3312 0.7713 0.4142
Te8 Te 0.0830 0.9142 0.1430
Te9 Te 0.5830 0.9400 0.6688
Te10 Te 0.7287 0.5858 0.1688
Te11 Te 0.7713 0.4400 0.3570
Te12 Te 0.8312 0.9170 0.0600
Te13 Te 0.1430 0.7287 0.5600
Te14 Te 0.3570 0.4170 0.0858
Te15 Te 0.0858 0.9170 0.3570
Te16 Te 0.4142 0.1430 0.5830
Te17 Te 0.0858 0.1688 0.2287
Te18 Te 0.4400 0.6688 0.0830
Te19 Te 0.8312 0.9142 0.2713
Te20 Te 0.1430 0.4142 0.0830
Te21 Te 0.3570 0.9400 0.7713
Te22 Te 0.5830 0.6430 0.4142
Te23 Te 0.9170 0.8312 0.5600
Te24 Te 0.7713 0.3312 0.9142
Te25 Te 0.4170 0.3570 0.5858
Te26 Te 0.0830 0.1688 0.4400
Te27 Te 0.2287 0.6688 0.0858
Te28 Te 0.1688 0.0858 0.7287
Te29 Te 0.6430 0.0600 0.2287
Te30 Te 0.8570 0.5858 0.9170
Te31 Te 0.5600 0.3312 0.9170
Te32 Te 0.5858 0.8570 0.4170
Te33 Te 0.9142 0.8312 0.7713
Te34 Te 0.9142 0.0830 0.6430
Te35 Te 0.8570 0.2713 0.4400
Te36 Te 0.1688 0.0830 0.9400
Te37 Te 0.6430 0.5830 0.9142
Te38 Te 0.4170 0.0600 0.3312
Te39 Te 0.2713 0.4142 0.8312
Te40 Te 0.2287 0.5600 0.6430
Te41 Te 0.9170 0.0858 0.8570
Te42 Te 0.6688 0.2287 0.5858
Te43 Te 0.4400 0.7713 0.8570
Te44 Te 0.0600 0.4170 0.8312
Te45 Te 0.4142 0.2713 0.3312
Te46 Te 0.0600 0.6430 0.7287
Te47 Te 0.6688 0.4400 0.5830
Te48 Te 0.2713 0.8570 0.9400
```

Computed properties:
Formation energy (no corrections), eV/atom: -0.539
Symmetry: Ia-3d, No. 230
V, Å³/cell: 3079.5
N(E_F), states/eV per atom: 0.73
Total moment, Bohr magnetons per cell: 82.01

=====

(4)
A plane-wave DFT calculation with PBE was carried out for TaH3Pt after structural relaxation.

Structure (CIF):
```
data_TaH3Pt
_chemical_formula_sum 'Ta1 H3 Pt1'
_space_group_name_H-M_alt 'P 1'
_space_group_IT_number 1
_space_group_name_Hall 'P 1'
_cell_length_a 3.5650
_cell_length_b 3.5650
_cell_length_c 3.5650
_cell_angle_alpha 90.00
_cell_angle_beta 90.00
_cell_angle_gamma 90.00
loop_
_atom_site_label
_atom_site_type_symbol
_atom_site_fract_x
_atom_site_fract_y
_atom_site_fract_z
H1 H 0.0000 0.5000 0.0000
H2 H 0.0000 0.0000 0.5000
H3 H 0.5000 0.0000 0.0000
Pt1 Pt 0.5000 0.5000 0.5000
Ta1 Ta 0.0000 0.0000 0.0000
```

Computed properties:
E_tot, eV/atom: -5.31
Symmetry: Pm-3m, No. 221
V, Å³/cell: 45.3
N(E_F), states/eV per atom: 0.20
Total moment, Bohr magnetons per cell: 0.00